## 1
# TiAlFeTc, relaxed, DFT PBE
data_TiAlFeTc
_chemical_formula_sum 'Ti4 Al4 Fe4 Tc4'
_symmetry_space_group_name_H-M 'F -4 3 m'
_symmetry_Int_Tables_number 216
_symmetry_space_group_name_Hall 'F -4 2 3'
_cell_length_a 6.0412
_cell_length_b 6.0412
_cell_length_c 6.0412
_cell_angle_alpha 90.00
_cell_angle_beta 90.00
_cell_angle_gamma 90.00
loop_
_atom_site_label
_atom_site_fract_x
_atom_site_fract_y
_atom_site_fract_z
Ti1 0.0000 0.0000 0.0000
Al1 0.0000 0.0000 0.5000
Fe1 0.2500 0.2500 0.7500
Tc1 0.2500 0.2500 0.2500
# Total moment in μB per cell: 6.62
# Density of states at the Fermi level in states/eV per cell: 18.53

## 2
# TiAlFeTc, relaxed, DFT PBE
data_TiAlFeTc
_chemical_formula_sum 'Ti1 Al1 Fe1 Tc1'
_symmetry_space_group_name_H-M 'P m m m'
_symmetry_Int_Tables_number 47
_cell_length_a 3.1711
_cell_length_b 4.1606
_cell_length_c 4.1999
_cell_angle_alpha 90.00
_cell_angle_beta 90.00
_cell_angle_gamma 90.00
loop_
_symmetry_equiv_pos_as_xyz
'x,y,z'
'-x,-y,-z'
'-x,-y,z'
'x,y,-z'
'x,-y,-z'
'-x,y,z'
'-x,y,-z'
'x,-y,z'
loop_
_atom_site_label
_atom_site_fract_x
_atom_site_fract_y
_atom_site_fract_z
Ti1 0.0000 0.0000 0.0000
Al1 0.0000 0.5000 0.5000
Fe1 0.5000 0.0000 0.5000
Tc1 0.5000 0.5000 0.0000
# Total moment in μB per cell: 1.79
# Density of states at the Fermi level in states/eV per cell: 3.38

The most stable of them is 2.

## 1
# AlVFeTc, relaxed, DFT PBE
data_AlVFeTc
_chemical_formula_sum 'Al4 V4 Fe4 Tc4'
_symmetry_space_group_name_H-M 'F -4 3 m'
_symmetry_Int_Tables_number 216
_symmetry_space_group_name_Hall 'F -4 2 3'
_cell_length_a 5.9220
_cell_length_b 5.9220
_cell_length_c 5.9220
_cell_angle_alpha 90.00
_cell_angle_beta 90.00
_cell_angle_gamma 90.00
loop_
_atom_site_label
_atom_site_fract_x
_atom_site_fract_y
_atom_site_fract_z
Al1 0.0000 0.0000 0.0000
V1 0.0000 0.0000 0.5000
Fe1 0.2500 0.2500 0.7500
Tc1 0.2500 0.2500 0.2500
# Total moment in μB per cell: 3.72
# Density of states at the Fermi level in states/eV per cell: 13.25

## 2
# AlVFeTc, relaxed, DFT PBE
data_AlVFeTc
_chemical_formula_sum 'Al1 V1 Fe1 Tc1'
_symmetry_space_group_name_H-M 'P 4 m m'
_symmetry_Int_Tables_number 99
_cell_length_a 2.9449
_cell_length_b 2.9449
_cell_length_c 5.9614
_cell_angle_alpha 90.00
_cell_angle_beta 90.00
_cell_angle_gamma 90.00
loop_
_symmetry_equiv_pos_as_xyz
'x,y,z'
'-y,x,z'
'-x,-y,z'
'y,-x,z'
'-x,y,z'
'y,x,z'
'x,-y,z'
'-y,-x,z'
loop_
_atom_site_label
_atom_site_fract_x
_atom_site_fract_y
_atom_site_fract_z
Al1 0.0000 0.0000 0.0000
V1 0.0000 0.0000 0.4731
Fe1 0.5000 0.5000 0.2458
Tc1 0.5000 0.5000 0.7275
# Total moment in μB per cell: 0.00
# Density of states at the Fermi level in states/eV per cell: 4.09

The most stable of them is 1.

## 1
# AlFeTe, relaxed, DFT PBE
data_AlFeTe
_chemical_formula_sum 'Al4 Fe4 Te4'
_symmetry_space_group_name_H-M 'F -4 3 m'
_symmetry_Int_Tables_number 216
_symmetry_space_group_name_Hall 'F -4 2 3'
_cell_length_a 5.9156
_cell_length_b 5.9156
_cell_length_c 5.9156
_cell_angle_alpha 90.00
_cell_angle_beta 90.00
_cell_angle_gamma 90.00
loop_
_atom_site_label
_atom_site_fract_x
_atom_site_fract_y
_atom_site_fract_z
Al1 0.0000 0.0000 0.0000
Fe1 0.2500 0.2500 0.2500
Te1 0.0000 0.0000 0.5000
# Total moment in μB per cell: 0.00
# Density of states at the Fermi level in states/eV per cell: 8.71

## 2
# AlFeTe, relaxed, DFT PBE
data_AlFeTe
_chemical_formula_sum 'Al1 Fe1 Te1'
_symmetry_space_group_name_H-M 'P 3 m 1'
_symmetry_Int_Tables_number 156
_cell_length_a 3.3274
_cell_length_b 3.3274
_cell_length_c 5.8082
_cell_angle_alpha 90.00
_cell_angle_beta 90.00
_cell_angle_gamma 120.00
loop_
_symmetry_equiv_pos_as_xyz
'x,y,z'
'-y,x-y,z'
'-x+y,-x,z'
'-y,-x,z'
'-x+y,y,z'
'x,x-y,z'
loop_
_atom_site_label
_atom_site_fract_x
_atom_site_fract_y
_atom_site_fract_z
Al1 0.0000 0.0000 0.0000
Fe1 0.3333 0.6667 0.2806
Te1 0.6667 0.3333 0.5772
# Total moment in μB per cell: 1.74
# Density of states at the Fermi level in states/eV per cell: 2.26

The most stable of them is 1.

## 1
# Th2AlFe, relaxed, DFT PBE
data_Th2AlFe
_chemical_formula_sum 'Th6 Al3 Fe3'
_symmetry_space_group_name_H-M 'R -3 m'
_symmetry_Int_Tables_number 166
_symmetry_space_group_name_Hall '-R 3 2"'
_cell_length_a 3.3358
_cell_length_b 3.3358
_cell_length_c 30.3405
_cell_angle_alpha 90.00
_cell_angle_beta 90.00
_cell_angle_gamma 120.00
loop_
_atom_site_label
_atom_site_fract_x
_atom_site_fract_y
_atom_site_fract_z
Th1 0.0000 0.0000 0.0809
Al1 0.0000 0.0000 0.5000
Fe1 0.0000 0.0000 0.0000
# Total moment in μB per cell: 3.30
# Density of states at the Fermi level in states/eV per cell: 7.01

## 2
# Th2AlFe, relaxed, DFT PBE
data_Th2AlFe
_chemical_formula_sum 'Th8 Al4 Fe4'
_symmetry_space_group_name_H-M 'P n m a'
_symmetry_Int_Tables_number 62
_cell_length_a 7.3996
_cell_length_b 7.2858
_cell_length_c 7.1076
_cell_angle_alpha 90.00
_cell_angle_beta 90.00
_cell_angle_gamma 90.00
loop_
_symmetry_equiv_pos_as_xyz
'x,y,z'
'-x,-y,-z'
'-x+1/2,-y,z+1/2'
'x+1/2,y,-z+1/2'
'x+1/2,-y+1/2,-z+1/2'
'-x+1/2,y+1/2,z+1/2'
'-x,y+1/2,-z'
'x,-y+1/2,z'
loop_
_atom_site_label
_atom_site_fract_x
_atom_site_fract_y
_atom_site_fract_z
Th1 0.1800 0.0017 0.1705
Al1 0.0048 0.7500 0.4776
Fe1 0.1533 0.2500 0.8709
# Total moment in μB per cell: 0.00
# Density of states at the Fermi level in states/eV per cell: 14.48

The most stable of them is 2.

## 1
# ThAl2Fe3, relaxed, DFT PBE
data_ThAl2Fe3
_chemical_formula_sum 'Th2 Al4 Fe6'
_symmetry_space_group_name_H-M 'C m m m'
_symmetry_Int_Tables_number 65
_symmetry_space_group_name_Hall '-C 2 2'
_cell_length_a 5.3557
_cell_length_b 8.6931
_cell_length_c 4.1144
_cell_angle_alpha 90.00
_cell_angle_beta 90.00
_cell_angle_gamma 90.00
loop_
_atom_site_label
_atom_site_fract_x
_atom_site_fract_y
_atom_site_fract_z
Th1 0.0000 0.0000 0.0000
Al1 0.2500 0.2500 0.5000
Fe1 0.0000 0.3406 0.0000
Fe2 0.0000 0.5000 0.5000
# Total moment in μB per cell: 9.94
# Density of states at the Fermi level in states/eV per cell: 9.21

## 2
# ThAl2Fe3, relaxed, DFT PBE
data_ThAl2Fe3
_chemical_formula_sum 'Th4 Al8 Fe12'
_symmetry_space_group_name_H-M 'C m c m'
_symmetry_Int_Tables_number 63
_symmetry_space_group_name_Hall '-C 2c 2'
_cell_length_a 9.4652
_cell_length_b 8.0572
_cell_length_c 5.1736
_cell_angle_alpha 90.00
_cell_angle_beta 90.00
_cell_angle_gamma 90.00
loop_
_atom_site_label
_atom_site_fract_x
_atom_site_fract_y
_atom_site_fract_z
Th1 0.0000 0.1938 0.2500
Al1 0.2244 0.5000 0.0000
Fe1 0.0000 0.4368 0.7500
Fe2 0.1670 0.2334 0.7500
# Total moment in μB per cell: 20.69
# Density of states at the Fermi level in states/eV per cell: 24.81

The most stable of them is 1.

## 1
# TiAl6Fe, relaxed, DFT PBE
data_TiAl6Fe
_chemical_formula_sum 'Ti3 Al18 Fe3'
_symmetry_space_group_name_H-M 'R -3 m'
_symmetry_Int_Tables_number 166
_symmetry_space_group_name_Hall '-R 3 2"'
_cell_length_a 8.6114
_cell_length_b 8.6114
_cell_length_c 6.1961
_cell_angle_alpha 90.00
_cell_angle_beta 90.00
_cell_angle_gamma 120.00
loop_
_atom_site_label
_atom_site_fract_x
_atom_site_fract_y
_atom_site_fract_z
Ti1 0.0000 0.0000 0.0000
Al1 0.0397 0.5199 0.2978
Fe1 0.0000 0.0000 0.5000
# Total moment in μB per cell: 0.05
# Density of states at the Fermi level in states/eV per cell: 7.11

## 2
# TiAl6Fe, relaxed, DFT PBE
data_TiAl6Fe
_chemical_formula_sum 'Ti2 Al12 Fe2'
_symmetry_space_group_name_H-M 'C m m m'
_symmetry_Int_Tables_number 65
_symmetry_space_group_name_Hall '-C 2 2'
_cell_length_a 7.8170
_cell_length_b 7.8347
_cell_length_c 3.9461
_cell_angle_alpha 90.00
_cell_angle_beta 90.00
_cell_angle_gamma 90.00
loop_
_atom_site_label
_atom_site_fract_x
_atom_site_fract_y
_atom_site_fract_z
Ti1 0.0000 0.0000 0.0000
Al1 0.0000 0.2543 0.5000
Al2 0.2450 0.5000 0.5000
Al3 0.2500 0.2500 0.0000
Fe1 0.0000 0.5000 0.0000
# Total moment in μB per cell: 4.94
# Density of states at the Fermi level in states/eV per cell: 13.25

The most stable of them is 2.